The following is a DFT calculation (PBE) of crystalline La3PuTe4 at its relaxed geometry.

a b c (Å): 7.891 9.082 7.871
angles (deg): 90.00 109.37 90.00
Space group P2/c (No. 13)
Symmetry-distinct sites (fractional):
La (0.000, 0.125, 0.250) x2
La (0.000, 0.374, 0.750) x2
La (0.500, 0.374, 0.250) x2
Pu (0.500, 0.124, 0.750) x2
Te (0.253, 0.371, 0.504) x4
Te (0.257, 0.121, 0.999) x4

The value obtained for the energy above the most stable polymorph in this dataset is 0 meV/atom. The total energy is -6.684 eV/atom.



The following is a DFT calculation (PBE) of crystalline LaPu3Te4 at its relaxed geometry.

a b c (Å): 8.945 12.694 4.471
angles (deg): 90.00 90.00 90.00
Space group Cmmm (No. 65)
Symmetry-distinct sites (fractional):
La (0.000, 0.000, 0.000) x2
Pu (0.000, 0.500, 0.000) x2
Pu (0.250, 0.250, 0.500) x4
Te (0.000, 0.253, 0.000) x4
Te (0.243, 0.500, 0.500) x4

The total energy is -8.756 eV/atom.



The following is a DFT calculation (PBE) of crystalline La4PuTe5 at its relaxed geometry.

a b c (Å): 10.187 10.187 6.444
angles (deg): 90.00 90.00 90.00
Space group I4/m (No. 87)
Symmetry-distinct sites (fractional):
La (0.097, 0.699, 0.000) x8
Pu (0.000, 0.000, 0.500) x2
Te (0.000, 0.000, 0.000) x2
Te (0.099, 0.706, 0.500) x8

The total energy is -6.470 eV/atom.



The following is a DFT calculation (PBE) of crystalline La4PuTe5 at its relaxed geometry.

a b c (Å): 4.557 4.557 32.238
angles (deg): 90.00 90.00 90.00
Space group I4/mmm (No. 139)
Symmetry-distinct sites (fractional):
La (0.000, 0.000, 0.100) x4
La (0.000, 0.000, 0.301) x4
Pu (0.000, 0.000, 0.500) x2
Te (0.000, 0.000, 0.000) x2
Te (0.000, 0.000, 0.201) x4
Te (0.000, 0.000, 0.402) x4

The total energy is -6.468 eV/atom.



The following is a DFT calculation (PBE) of crystalline LaPu5Te8 at its relaxed geometry.

a b c (Å): 9.439 9.439 9.424
angles (deg): 90.00 90.00 90.00
Space group I-4 (No. 82)
Symmetry-distinct sites (fractional):
La (0.000, 0.000, 0.000) x2
Pu (0.000, 0.500, 0.250) x2
Pu (0.127, 0.750, 0.625) x8
Te (0.076, 0.825, 0.302) x8
Te (0.077, 0.671, 0.948) x8

The total energy is -8.428 eV/atom.



The following is a DFT calculation (PBE) of crystalline La3PuTe4 at its relaxed geometry.

a b c (Å): 9.121 12.865 4.536
angles (deg): 90.00 90.00 90.00
Space group Cmmm (No. 65)
Symmetry-distinct sites (fractional):
La (0.000, 0.000, 0.000) x2
La (0.250, 0.250, 0.500) x4
Pu (0.000, 0.500, 0.000) x2
Te (0.000, 0.254, 0.000) x4
Te (0.243, 0.500, 0.500) x4

The value obtained for the energy above the most stable polymorph in this dataset is 2 meV/atom. The total energy is -6.681 eV/atom.



The following is a DFT calculation (PBE) of crystalline LaPu2Te3 at its relaxed geometry.

a b c (Å): 4.487 6.353 13.463
angles (deg): 90.00 90.00 90.00
Space group Immm (No. 71)
Symmetry-distinct sites (fractional):
La (0.000, 0.000, 0.000) x2
Pu (0.000, 0.000, 0.336) x4
Te (0.000, 0.500, 0.000) x2
Te (0.000, 0.500, 0.327) x4

The total energy is -8.424 eV/atom.



The following is a DFT calculation (PBE) of crystalline La5Pu3Te8 at its relaxed geometry.

a b c (Å): 9.0402 9.0402 22.2837
angles (deg): 90.00 90.00 120.00
Space group R-3m (No. 166, hexagonal axes)
Symmetry-distinct sites (fractional):
La (0.0000, 0.0000, 0.0000) x3
La (0.0000, 0.0000, 0.5000) x3
La (0.0000, 0.5000, 0.0000) x9
Pu (0.0000, 0.5000, 0.5000) x9
Te (0.0000, 0.0000, 0.2464) x6
Te (0.0048, 0.5024, 0.7523) x18

The total energy is -7.207 eV/atom.